Computed, not measured: crystalline BaTmB2O6 at its relaxed geometry at the GGA-PBE level of DFT.

Results
formation energy without anion corrections	-2740	meV per atom

a = 6.489 Å, b = 6.489 Å, c = 6.925 Å
α = 102.80°, β = 102.80°, γ = 100.01°
Site moments in Bohr magnetons follow the coordinates.
Positions (direct):
O: 0.583 0.071 0.284  0.14
B: 0.136 0.387 0.252  -0.01
O: 0.198 0.229 0.125  0.09
O: 0.696 0.464 0.593  0.11
O: 0.071 0.583 0.784  0.14
Tm: 0.588 0.412 0.250  -0.01
Tm: 0.412 0.588 0.750  -0.01
Ba: 0.864 0.136 0.750  0.00
O: 0.417 0.929 0.716  0.14
B: 0.387 0.136 0.752  -0.01
B: 0.864 0.613 0.748  -0.01
O: 0.802 0.771 0.875  0.09
B: 0.613 0.864 0.248  -0.01
O: 0.771 0.802 0.375  0.09
O: 0.536 0.304 0.907  0.11
O: 0.929 0.417 0.216  0.14
Ba: 0.136 0.864 0.250  0.00
O: 0.464 0.696 0.093  0.11
O: 0.304 0.536 0.407  0.11
O: 0.229 0.198 0.625  0.09